Record 1
# Fe5Pt (PBE, relaxed)
data_Fe5Pt
_symmetry_space_group_name_H-M 'P 1'
_symmetry_Int_Tables_number 1
_cell_length_a 4.719
_cell_length_b 4.719
_cell_length_c 4.719
_cell_angle_alpha 60.00
_cell_angle_beta 60.00
_cell_angle_gamma 60.00
loop_
_symmetry_equiv_pos_as_xyz
'x,y,z'
loop_
_atom_site_label
_atom_site_fract_x
_atom_site_fract_y
_atom_site_fract_z
_atom_site_occupancy
Fe1 0.000 0.000 0.000 1
Fe2 0.374 0.374 0.374 1
Fe3 0.374 0.374 0.878 1
Fe4 0.374 0.878 0.374 1
Fe5 0.878 0.374 0.374 1
Pt1 0.750 0.750 0.750 1
# E_form ... 30 meV/atom
# Crystal system ... cubic



Record 2
# FePt (PBE, relaxed)
data_FePt
_symmetry_space_group_name_H-M 'P 1'
_symmetry_Int_Tables_number 1
_cell_length_a 5.211
_cell_length_b 5.211
_cell_length_c 5.211
_cell_angle_alpha 148.57
_cell_angle_beta 129.38
_cell_angle_gamma 60.81
loop_
_symmetry_equiv_pos_as_xyz
'x,y,z'
loop_
_atom_site_label
_atom_site_fract_x
_atom_site_fract_y
_atom_site_fract_z
_atom_site_occupancy
Fe1 0.389 0.139 0.250 1
Fe2 0.611 0.861 0.750 1
Pt1 0.141 0.391 0.750 1
Pt2 0.859 0.609 0.250 1
# E_form ... -134 meV/atom
# Crystal system ... orthorhombic



Record 3
# Fe3Pt4 (PBE, relaxed)
data_Fe3Pt4
_symmetry_space_group_name_H-M 'P 1'
_symmetry_Int_Tables_number 1
_cell_length_a 4.788
_cell_length_b 4.788
_cell_length_c 5.053
_cell_angle_alpha 90.00
_cell_angle_beta 90.00
_cell_angle_gamma 120.00
loop_
_symmetry_equiv_pos_as_xyz
'x,y,z'
loop_
_atom_site_label
_atom_site_fract_x
_atom_site_fract_y
_atom_site_fract_z
_atom_site_occupancy
Fe1 0.000 0.500 0.000 1
Fe2 0.500 0.000 0.000 1
Fe3 0.500 0.500 0.000 1
Pt1 0.000 0.000 0.254 1
Pt2 0.000 0.000 0.746 1
Pt3 0.333 0.667 0.500 1
Pt4 0.667 0.333 0.500 1
# E_form ... -62 meV/atom
# Energy relative to the lowest polymorph listed for this composition ... 39 meV per atom
# Crystal system ... hexagonal



Record 4
# Fe5Pt (PBE, relaxed)
data_Fe5Pt
_symmetry_space_group_name_H-M 'P 1'
_symmetry_Int_Tables_number 1
_cell_length_a 6.376
_cell_length_b 6.376
_cell_length_c 4.198
_cell_angle_alpha 90.00
_cell_angle_beta 90.00
_cell_angle_gamma 153.55
loop_
_symmetry_equiv_pos_as_xyz
'x,y,z'
loop_
_atom_site_label
_atom_site_fract_x
_atom_site_fract_y
_atom_site_fract_z
_atom_site_occupancy
Fe1 0.000 0.000 0.000 1
Fe2 0.173 0.827 0.500 1
Fe3 0.332 0.668 0.000 1
Fe4 0.668 0.332 0.000 1
Fe5 0.827 0.173 0.500 1
Pt1 0.500 0.500 0.500 1
# E_form ... -48 meV/atom
# Crystal system ... orthorhombic



Record 5
# FePt4 (PBE, relaxed)
data_FePt4
_symmetry_space_group_name_H-M 'P 1'
_symmetry_Int_Tables_number 1
_cell_length_a 4.776
_cell_length_b 5.349
_cell_length_c 7.192
_cell_angle_alpha 109.88
_cell_angle_beta 90.06
_cell_angle_gamma 116.37
loop_
_symmetry_equiv_pos_as_xyz
'x,y,z'
loop_
_atom_site_label
_atom_site_fract_x
_atom_site_fract_y
_atom_site_fract_z
_atom_site_occupancy
Fe1 0.000 0.000 0.000 1
Fe2 0.209 0.418 0.420 1
Pt1 0.137 0.589 0.116 1
Pt2 0.344 0.007 0.510 1
Pt3 0.401 0.809 0.815 1
Pt4 0.547 0.413 0.911 1
Pt5 0.582 0.209 0.210 1
Pt6 0.757 0.829 0.304 1
Pt7 0.801 0.609 0.605 1
Pt8 0.946 0.209 0.710 1
# E_form ... -121 meV/atom
# Energy relative to the lowest polymorph listed for this composition ... 26 meV per atom
# Crystal system ... triclinic



Record 6
# Fe5Pt3 (PBE, relaxed)
data_Fe5Pt3
_symmetry_space_group_name_H-M 'P 1'
_symmetry_Int_Tables_number 1
_cell_length_a 4.733
_cell_length_b 7.054
_cell_length_c 7.063
_cell_angle_alpha 96.71
_cell_angle_beta 101.37
_cell_angle_gamma 101.59
loop_
_symmetry_equiv_pos_as_xyz
'x,y,z'
loop_
_atom_site_label
_atom_site_fract_x
_atom_site_fract_y
_atom_site_fract_z
_atom_site_occupancy
Fe1 0.030 0.351 0.292 1
Fe2 0.188 0.709 0.386 1
Fe3 0.250 0.496 0.006 1
Fe4 0.312 0.112 0.790 1
Fe5 0.468 0.209 0.147 1
Fe6 0.532 0.791 0.853 1
Fe7 0.688 0.888 0.210 1
Fe8 0.750 0.504 0.994 1
Fe9 0.812 0.291 0.614 1
Fe10 0.970 0.649 0.708 1
Pt1 0.132 0.851 0.051 1
Pt2 0.250 0.079 0.421 1
Pt3 0.368 0.449 0.648 1
Pt4 0.632 0.551 0.352 1
Pt5 0.750 0.921 0.579 1
Pt6 0.868 0.149 0.949 1
# E_form ... -62 meV/atom
# Energy relative to the lowest polymorph listed for this composition ... 97 meV per atom
# Crystal system ... triclinic



Record 7
# FePt (PBE, relaxed)
data_FePt
_symmetry_space_group_name_H-M 'P 1'
_symmetry_Int_Tables_number 1
_cell_length_a 2.726
_cell_length_b 2.726
_cell_length_c 8.875
_cell_angle_alpha 90.00
_cell_angle_beta 90.00
_cell_angle_gamma 120.00
loop_
_symmetry_equiv_pos_as_xyz
'x,y,z'
loop_
_atom_site_label
_atom_site_fract_x
_atom_site_fract_y
_atom_site_fract_z
_atom_site_occupancy
Fe1 0.333 0.667 0.382 1
Fe2 0.667 0.333 0.618 1
Pt1 0.333 0.667 0.858 1
Pt2 0.667 0.333 0.142 1
# E_form ... -44 meV/atom
# Crystal system ... trigonal



Record 8
# FePt (PBE, relaxed)
data_FePt
_symmetry_space_group_name_H-M 'P 1'
_symmetry_Int_Tables_number 1
_cell_length_a 5.147
_cell_length_b 5.147
_cell_length_c 6.490
_cell_angle_alpha 105.95
_cell_angle_beta 105.95
_cell_angle_gamma 30.85
loop_
_symmetry_equiv_pos_as_xyz
'x,y,z'
loop_
_atom_site_label
_atom_site_fract_x
_atom_site_fract_y
_atom_site_fract_z
_atom_site_occupancy
Fe1 0.000 0.000 0.000 1
Fe2 0.062 0.062 0.577 1
Fe3 0.673 0.673 0.318 1
Pt1 0.344 0.344 0.657 1
Pt2 0.394 0.394 0.261 1
Pt3 0.705 0.705 0.916 1
# E_form ... -167 meV/atom
# Crystal system ... monoclinic



| no. | theoretical density (Mg/m³) |
| --- | --- |
| 1 | 10.6 |
| 2 | 14.7 |
| 3 | 15.7 |
| 4 | 10.4 |
| 5 | 18.2 |
| 6 | 12.8 |
| 7 | 14.6 |
| 8 | 14.8 |